A plane-wave DFT calculation with GGA+U was carried out for a relaxed Co2SO crystal.

extended XYZ file:
```
8
Lattice="6.1728 -1.6696 0.0000 6.1728 1.6696 0.0000 0.0000 0.0000 5.5784" Properties=species:S:1:pos:R:3 pbc="T T T"
S 3.9943 0.0000 2.9604
S 8.3512 0.0000 0.1712
Co 4.0769 0.0000 5.3450
Co 11.5469 0.0000 2.1130
Co 8.2687 0.0000 2.5558
Co 0.7986 0.0000 4.9022
O 0.9645 0.0000 2.9285
O 11.3810 0.0000 0.1392
```

Results
Its space group is Cmc2_1. The calculation puts the total energy at -42.98 eV for the cell shown.